Entry 1:
## YMg2WCl (GGA-PBE)

Data for a relaxed structure of YMg2WCl.

```
YMg2WCl
1.0
5.3729 0.0000 0.0000
0.0000 5.3729 0.0000
0.0000 0.0000 4.4896
Y Mg W Cl
1 2 1 1
Direct
0.0000 0.0000 0.0000
0.0000 0.5000 0.5000
0.5000 0.0000 0.5000
0.5000 0.5000 0.5000
0.5000 0.5000 0.0000
```

**Formation energy without anion corrections**: 0.66 eV per atom
**ρ**: 4.6 g cm⁻³
**VASP energy**: -4.23 eV per atom
**Volume**: 25.9 Å³/atom

---

Entry 2:
## HfGeO3 (GGA-PBE)

Data for a relaxed structure of HfGeO3.

```
HfGeO3
1.0
4.0633 0.0000 0.0000
0.0000 4.0633 0.0000
0.0000 0.0000 4.0633
Hf Ge O
1 1 3
Direct
0.0000 0.0000 0.0000
0.5000 0.5000 0.5000
0.0000 0.0000 0.5000
0.0000 0.5000 0.0000
0.5000 0.0000 0.0000
```

**Formation energy without anion corrections**: -2.16 eV per atom
**ρ**: 7.4 g cm⁻³
**VASP energy**: -8.05 eV per atom
**Volume**: 13.4 Å³/atom

---

Entry 3:
## Sb2Te2Br (GGA-PBE)

Data for a relaxed structure of Sb2Te2Br.

```
Sb2Te2Br
1.0
-2.9053 2.9053 4.9147
2.9053 -2.9053 4.9147
2.9053 2.9053 -4.9147
Sb Te Br
2 2 1
Direct
0.1565 0.1565 0.0000
0.8435 0.8435 0.0000
0.2500 0.7500 0.5000
0.7500 0.2500 0.5000
0.5000 0.5000 0.0000
```

**Formation energy without anion corrections**: -0.06 eV per atom
**ρ**: 5.8 g cm⁻³
**E above lowest polymorph**: 0.104 eV per atom
**VASP energy**: -3.30 eV per atom
**Volume**: 33.2 Å³/atom

---

Entry 4:
## LuInTc (GGA-PBE)

Data for a relaxed structure of LuInTc.

```
LuInTc
1.0
-1.7562 1.7562 4.9498
1.7562 -1.7562 4.9498
1.7562 1.7562 -4.9498
Lu In Tc
1 1 1
Direct
0.0000 0.0000 0.0000
0.3017 0.3017 0.0000
0.6560 0.6560 0.0000
```

**ρ**: 10.5 g cm⁻³
**VASP energy**: -5.97 eV per atom
**Formation energy from the elements**: -98 meV/atom
**Volume**: 20.4 Å³/atom

---

Entry 5:
## YCdGa3 (GGA-PBE)

Data for a relaxed structure of YCdGa3.

```
YCdGa3
1.0
5.5775 0.0000 0.0000
0.0000 5.5775 0.0000
0.0000 0.0000 5.5775
Y Cd Ga
1 1 3
Direct
0.0000 0.0000 0.0000
0.5000 0.5000 0.5000
0.0000 0.0000 0.5000
0.0000 0.5000 0.0000
0.5000 0.0000 0.0000
```

**ρ**: 3.9 g cm⁻³
**E above lowest polymorph**: 0.357 eV per atom
**VASP energy**: -2.64 eV per atom
**Formation energy from the elements**: 652 meV/atom
**Volume**: 34.7 Å³/atom

---

Entry 6:
## Nd3SmRu8 (GGA-PBE)

Data for a relaxed structure of Nd3SmRu8.

```
Nd3SmRu8
1.0
2.7060 1.5623 8.8856
-2.7060 1.5623 8.8856
0.0000 -3.1247 8.8856
Nd Sm Ru
3 1 8
Direct
0.0000 0.0000 0.0000
0.1249 0.1249 0.1249
0.5000 0.5000 0.5000
0.6247 0.6247 0.6247
0.0574 0.0574 0.5712
0.0574 0.5712 0.0574
0.0686 0.5574 0.5574
0.3072 0.3072 0.3072
0.5574 0.0686 0.5574
0.5574 0.5574 0.0686
0.5712 0.0574 0.0574
0.8074 0.8074 0.8074
```

**ρ**: 10.3 g cm⁻³
**VASP energy**: -7.92 eV per atom
**Formation energy from the elements**: -151 meV/atom
**Volume**: 18.8 Å³/atom

---

Entry 7:
## CeTlPdSe2 (GGA-PBE)

Data for a relaxed structure of CeTlPdSe2.

```
CeTlPdSe2
1.0
8.0835 0.0000 0.0000
0.0000 4.7303 0.0000
-1.4446 0.0000 7.8881
Ce Tl Pd Se
2 2 2 4
Direct
0.0000 0.0117 0.2500
0.0000 0.9883 0.7500
0.5000 0.3291 0.7500
0.5000 0.6709 0.2500
0.0000 0.5000 0.0000
0.0000 0.5000 0.5000
0.2505 0.1912 0.0403
0.2505 0.8088 0.5403
0.7495 0.1912 0.4597
0.7495 0.8088 0.9597
```

**Formation energy without anion corrections**: -0.91 eV per atom
**ρ**: 6.7 g cm⁻³
**VASP energy**: -5.00 eV per atom
**Volume**: 30.2 Å³/atom

---

Entry 8:
## SmNpPdPt (GGA-PBE)

Data for a relaxed structure of SmNpPdPt.

```
SmNpPdPt
1.0
0.0000 3.5385 3.5385
3.5385 0.0000 3.5385
3.5385 3.5385 0.0000
Sm Np Pd Pt
1 1 1 1
Direct
0.0000 0.0000 0.0000
0.5000 0.5000 0.5000
0.7500 0.7500 0.7500
0.2500 0.2500 0.2500
```

**ρ**: 12.9 g cm⁻³
**VASP energy**: -7.77 eV per atom
**Formation energy from the elements**: -544 meV/atom
**Volume**: 22.2 Å³/atom

---

Entry 9:
## Sr2AlIn2Au4 (GGA-PBE)

Data for a relaxed structure of Sr2AlIn2Au4.

```
Sr2AlIn2Au4
1.0
-3.5083 3.5083 4.5171
3.5083 -3.5083 4.5171
3.5083 3.5083 -4.5171
Sr Al In Au
2 1 2 4
Direct
0.2500 0.7500 0.5000
0.7500 0.2500 0.5000
0.0000 0.0000 0.0000
0.3178 0.3178 0.0000
0.6822 0.6822 0.0000
0.2574 0.2574 0.5148
0.2574 0.7426 0.0000
0.7426 0.2574 0.0000
0.7426 0.7426 0.4852
```

**ρ**: 9.1 g cm⁻³
**VASP energy**: -3.38 eV per atom
**Formation energy from the elements**: -526 meV/atom
**Volume**: 24.7 Å³/atom

---

Entry 10:
## RuPbBr2 (GGA-PBE)

Data for a relaxed structure of RuPbBr2.

```
RuPbBr2
1.0
1.8802 1.0855 8.5339
-1.8802 1.0855 8.5339
0.0000 -2.1711 8.5339
Ru Pb Br
1 1 2
Direct
0.0000 0.0000 0.0000
0.2544 0.2544 0.2544
0.5037 0.5037 0.5037
0.7125 0.7125 0.7125
```

**Formation energy without anion corrections**: 0.14 eV per atom
**ρ**: 7.4 g cm⁻³
**E above lowest polymorph**: 0.160 eV per atom
**VASP energy**: -3.94 eV per atom
**Volume**: 26.1 Å³/atom

---

Entry 11:
## LaNdPd (GGA-PBE)

Data for a relaxed structure of LaNdPd.

```
LaNdPd
1.0
0.0000 3.5955 3.5955
3.5955 0.0000 3.5955
3.5955 3.5955 0.0000
La Nd Pd
1 1 1
Direct
0.0000 0.0000 0.0000
0.5000 0.5000 0.5000
0.2500 0.2500 0.2500
```

**ρ**: 7.0 g cm⁻³
**E above lowest polymorph**: 0.169 eV per atom
**VASP energy**: -5.33 eV per atom
**Formation energy from the elements**: -368 meV/atom
**Volume**: 31.0 Å³/atom

---

Entry 12:
## SrAlSe2 (GGA-PBE)

Data for a relaxed structure of SrAlSe2.

```
SrAlSe2
1.0
-1.9157 3.1014 4.2387
1.9157 -3.1014 4.2387
1.9157 3.1014 -4.2387
Sr Al Se
1 1 2
Direct
0.0000 0.0000 0.0000
0.5000 0.5000 0.0000
0.3037 0.8037 0.5000
0.6963 0.1963 0.5000
```

**Formation energy without anion corrections**: -0.91 eV per atom
**ρ**: 4.5 g cm⁻³
**VASP energy**: -4.01 eV per atom
**Volume**: 25.2 Å³/atom